# BaAgSb

A crystal of BaAgSb relaxed with PBEsol (SCAN, Alexandria).

abc: 4.7521 4.7521 4.7280
angles: 90.00 90.00 120.00
Closest atoms and distances in Å follow each position.
Space group P-6m2 (No. 187)
Inequivalent atoms, fractional coordinates:
Ba (0.0000, 0.0000, 0.0000)  6 Sb 3.62, 6 Ag 3.62
Ag (0.6667, 0.3333, 0.5000)  3 Sb 2.74
Sb (0.3333, 0.6667, 0.5000)  3 Ag 2.74

Output
- Uncorrected formation energy: -860.1 meV per atom
- Fermi-level density of states: 0.069 states/eV/atom
- Magnetization: 0.000 μB/f.u.

=====

# BaSc2Ag

A crystal of BaSc2Ag relaxed with PBEsol (SCAN, Alexandria).

abc: 7.5209 7.5209 7.5209
angles: 90.00 90.00 90.00
Closest atoms and distances in Å follow each position.
Space group F-43m (No. 216)
Inequivalent atoms, fractional coordinates:
Ba (0.0000, 0.0000, 0.0000)  4 Ag 3.26, 4 Sc 3.26
Sc (0.0000, 0.0000, 0.5000)  4 Sc 3.26, 4 Ag 3.26
Sc (0.2500, 0.2500, 0.2500)  4 Ba 3.26, 4 Sc 3.26
Ag (0.2500, 0.2500, 0.7500)  4 Ba 3.26, 4 Sc 3.26

Output
- Fermi-level density of states: 2.129 states/eV/atom
- Relative energy among the computed polymorphs: 343 meV per atom
- Magnetization: 2.294 μB/f.u.
- E_form: 356 meV per atom

=====

# Ba2ScAg

A crystal of Ba2ScAg relaxed with PBEsol (SCAN, Alexandria).

abc: 8.2734 8.2917 3.9406
angles: 90.00 90.00 90.00
Closest atoms and distances in Å follow each position.
Space group Cmmm (No. 65)
Inequivalent atoms, fractional coordinates:
Ba (0.2500, 0.2500, 0.0000)  4 Sc 3.53, 4 Ag 3.53, 2 Ba 3.94
Sc (0.0000, 0.0000, 0.5000)  8 Ba 3.53, 2 Sc 3.94
Ag (0.0000, 0.5000, 0.5000)  8 Ba 3.53, 2 Ag 3.94

Output
- Fermi-level density of states: 0.746 states/eV/atom
- Relative energy among the computed polymorphs: 194 meV per atom
- Magnetization: 0.000 μB/f.u.
- E_form: 229 meV per atom

=====

# Ba2ScAg

A crystal of Ba2ScAg relaxed with PBEsol (SCAN, Alexandria).

abc: 4.6576 4.6576 26.0184
angles: 90.00 90.00 120.00
Closest atoms and distances in Å follow each position.
Space group R3m (No. 160, hexagonal axes)
Inequivalent atoms, fractional coordinates:
Ba (0.0000, 0.0000, 0.0000)  3 Sc 3.66, 3 Ag 3.69
Ba (0.0000, 0.0000, 0.1921)  3 Ag 3.66, 3 Sc 3.68
Sc (0.0000, 0.0000, 0.4286)  3 Ag 2.69
Ag (0.0000, 0.0000, 0.7636)  3 Sc 2.69

Output
- Fermi-level density of states: 0.982 states/eV/atom
- Relative energy among the computed polymorphs: 0 meV per atom
- Magnetization: 1.432 μB/f.u.
- E_form: 35 meV per atom